# 1
A geometry-optimized AlTlPd2 structure. Source: Alexandria, functional GGA-PBE.

space group: Fm-3m, No. 225
energy of formation: -350 meV per atom

Cell and atoms, written as CIF:
```
data_AlTlPd2
_chemical_formula_sum 'Al1 Tl1 Pd2'
_cell_length_a 4.5925
_cell_length_b 4.5925
_cell_length_c 4.5925
_cell_angle_alpha 60.00
_cell_angle_beta 60.00
_cell_angle_gamma 60.00
_space_group_name_H-M_alt 'P 1'
_space_group_IT_number 1
loop_
_space_group_symop_operation_xyz
'x,y,z'
loop_
_atom_site_label
_atom_site_type_symbol
_atom_site_fract_x
_atom_site_fract_y
_atom_site_fract_z
Al1 Al 0.0000 0.0000 0.0000
Tl1 Tl 0.5000 0.5000 0.5000
Pd1 Pd 0.2500 0.2500 0.2500
Pd2 Pd 0.7500 0.7500 0.7500
```



# 2
A geometry-optimized NdPuC structure. Source: Alexandria, functional GGA-PBE.

space group: F-43m, No. 216
energy of formation: 400 meV per atom

Cell and atoms, written as CIF:
```
data_NdPuC
_chemical_formula_sum 'Nd1 Pu1 C1'
_cell_length_a 4.4244
_cell_length_b 4.4244
_cell_length_c 4.4244
_cell_angle_alpha 60.00
_cell_angle_beta 60.00
_cell_angle_gamma 60.00
_space_group_name_H-M_alt 'P 1'
_space_group_IT_number 1
loop_
_space_group_symop_operation_xyz
'x,y,z'
loop_
_atom_site_label
_atom_site_type_symbol
_atom_site_fract_x
_atom_site_fract_y
_atom_site_fract_z
Nd1 Nd 0.0000 0.0000 0.0000
Pu1 Pu 0.5000 0.5000 0.5000
C1 C 0.7500 0.7500 0.7500
```



# 3
A geometry-optimized CsNa2InGe structure. Source: Alexandria, functional GGA-PBE.

space group: P4/mmm, No. 123
energy of formation: -19 meV per atom

Cell and atoms, written as CIF:
```
data_CsNa2InGe
_chemical_formula_sum 'Cs1 Na2 In1 Ge1'
_cell_length_a 5.8487
_cell_length_b 5.8487
_cell_length_c 5.6204
_cell_angle_alpha 90.00
_cell_angle_beta 90.00
_cell_angle_gamma 90.00
_space_group_name_H-M_alt 'P 1'
_space_group_IT_number 1
loop_
_space_group_symop_operation_xyz
'x,y,z'
loop_
_atom_site_label
_atom_site_type_symbol
_atom_site_fract_x
_atom_site_fract_y
_atom_site_fract_z
Cs1 Cs 0.0000 0.0000 0.0000
Na1 Na 0.0000 0.5000 0.5000
Na2 Na 0.5000 0.0000 0.5000
In1 In 0.5000 0.5000 0.0000
Ge1 Ge 0.5000 0.5000 0.5000
```



# 4
A geometry-optimized La2PaAs3Rh12 structure. Source: Alexandria, functional GGA-PBE.

space group: R-3m, No. 166
energy of formation: -378 meV per atom

Cell and atoms, written as CIF:
```
data_La2PaAs3Rh12
_chemical_formula_sum 'La2 Pa1 As3 Rh12'
_cell_length_a 6.8633
_cell_length_b 6.8633
_cell_length_c 6.8633
_cell_angle_alpha 83.07
_cell_angle_beta 83.07
_cell_angle_gamma 83.07
_space_group_name_H-M_alt 'P 1'
_space_group_IT_number 1
loop_
_space_group_symop_operation_xyz
'x,y,z'
loop_
_atom_site_label
_atom_site_type_symbol
_atom_site_fract_x
_atom_site_fract_y
_atom_site_fract_z
La1 La 0.1435 0.1435 0.1435
La2 La 0.8565 0.8565 0.8565
Pa1 Pa 0.5000 0.5000 0.5000
As1 As 0.0000 0.5000 0.5000
As2 As 0.5000 0.0000 0.5000
As3 As 0.5000 0.5000 0.0000
Rh1 Rh 0.1250 0.1250 0.6008
Rh2 Rh 0.1250 0.6008 0.1250
Rh3 Rh 0.1826 0.6851 0.6851
Rh4 Rh 0.3149 0.3149 0.8174
Rh5 Rh 0.3149 0.8174 0.3149
Rh6 Rh 0.3992 0.8750 0.8750
Rh7 Rh 0.6008 0.1250 0.1250
Rh8 Rh 0.6851 0.1826 0.6851
Rh9 Rh 0.6851 0.6851 0.1826
Rh10 Rh 0.8174 0.3149 0.3149
Rh11 Rh 0.8750 0.3992 0.8750
Rh12 Rh 0.8750 0.8750 0.3992
```



Copy entry 4 word for word.
A geometry-optimized La2PaAs3Rh12 structure. Source: Alexandria, functional GGA-PBE.

space group: R-3m, No. 166
energy of formation: -378 meV per atom

Cell and atoms, written as CIF:
```
data_La2PaAs3Rh12
_chemical_formula_sum 'La2 Pa1 As3 Rh12'
_cell_length_a 6.8633
_cell_length_b 6.8633
_cell_length_c 6.8633
_cell_angle_alpha 83.07
_cell_angle_beta 83.07
_cell_angle_gamma 83.07
_space_group_name_H-M_alt 'P 1'
_space_group_IT_number 1
loop_
_space_group_symop_operation_xyz
'x,y,z'
loop_
_atom_site_label
_atom_site_type_symbol
_atom_site_fract_x
_atom_site_fract_y
_atom_site_fract_z
La1 La 0.1435 0.1435 0.1435
La2 La 0.8565 0.8565 0.8565
Pa1 Pa 0.5000 0.5000 0.5000
As1 As 0.0000 0.5000 0.5000
As2 As 0.5000 0.0000 0.5000
As3 As 0.5000 0.5000 0.0000
Rh1 Rh 0.1250 0.1250 0.6008
Rh2 Rh 0.1250 0.6008 0.1250
Rh3 Rh 0.1826 0.6851 0.6851
Rh4 Rh 0.3149 0.3149 0.8174
Rh5 Rh 0.3149 0.8174 0.3149
Rh6 Rh 0.3992 0.8750 0.8750
Rh7 Rh 0.6008 0.1250 0.1250
Rh8 Rh 0.6851 0.1826 0.6851
Rh9 Rh 0.6851 0.6851 0.1826
Rh10 Rh 0.8174 0.3149 0.3149
Rh11 Rh 0.8750 0.3992 0.8750
Rh12 Rh 0.8750 0.8750 0.3992
```



Q: energy of formation of number 2 (NdPuC)?
A: 400 meV per atom